No. 1
First-principles (PBE) data for TbCe3Pu after structural relaxation, as listed in the Alexandria database.

Results
ΔE_f, kJ/mol of atoms: 9.9
Magnetic moment, μB/f.u.: 2.6
Calculated total energy, eV/cell: -145.01

Cell lengths 7.387, 7.387, 12.350 Å; angles 98.59, 98.59, 58.47 degrees
Fractional positions:
Tb1 0.098 0.747 0.900
Tb2 0.253 0.902 0.600
Tb3 0.747 0.098 0.400
Tb4 0.902 0.253 0.100
Ce1 0.154 0.208 0.883
Ce2 0.188 0.598 0.381
Ce3 0.208 0.154 0.383
Ce4 0.314 0.389 0.634
Ce5 0.389 0.314 0.134
Ce6 0.402 0.812 0.119
Ce7 0.598 0.188 0.881
Ce8 0.611 0.686 0.866
Ce9 0.686 0.611 0.366
Ce10 0.792 0.846 0.617
Ce11 0.812 0.402 0.619
Ce12 0.846 0.792 0.117
Pu1 0.000 0.500 0.500
Pu2 0.118 0.882 0.250
Pu3 0.500 0.000 0.000
Pu4 0.882 0.118 0.750

=====

No. 2
First-principles (PBE) data for BaTaBe2 after structural relaxation, as listed in the Alexandria database.

Results
ΔE_f, kJ/mol of atoms: 144.1
Magnetic moment, μB/f.u.: 2.3
Calculated total energy, eV/cell: -15.25
E above lowest polymorph, eV per atom: 1.0516

Cell lengths 4.821, 4.821, 4.821 Å; angles 60.00, 60.00, 60.00 degrees
Fractional positions:
Ba1 0.000 0.000 0.000
Ta1 0.750 0.750 0.750
Be1 0.250 0.250 0.250
Be2 0.500 0.500 0.500

=====

No. 3
First-principles (PBE) data for SmHo2Er6Tm after structural relaxation, as listed in the Alexandria database.

Results
ΔE_f, kJ/mol of atoms: 11.7
Magnetic moment, μB/f.u.: 0.0
Calculated total energy, eV/cell: -89.02

Cell lengths 8.700, 8.700, 9.435 Å; angles 93.65, 93.65, 117.81 degrees
Fractional positions:
Sm1 0.025 0.975 0.750
Sm2 0.975 0.025 0.250
Ho1 0.199 0.305 0.546
Ho2 0.305 0.199 0.046
Ho3 0.695 0.801 0.954
Ho4 0.801 0.695 0.454
Er1 0.018 0.567 0.684
Er2 0.125 0.751 0.057
Er3 0.249 0.875 0.443
Er4 0.291 0.507 0.882
Er5 0.433 0.982 0.816
Er6 0.493 0.709 0.618
Er7 0.507 0.291 0.382
Er8 0.567 0.018 0.184
Er9 0.709 0.493 0.118
Er10 0.751 0.125 0.557
Er11 0.875 0.249 0.943
Er12 0.982 0.433 0.316
Tm1 0.410 0.590 0.250
Tm2 0.590 0.410 0.750

=====

No. 4
First-principles (PBE) data for Rb2YNbF6 after structural relaxation, as listed in the Alexandria database.

Results
Raw formation energy, eV per atom: -2.664
Magnetic moment, μB/f.u.: 2.9
Calculated total energy, eV/cell: -56.34

Cell lengths 6.443, 6.443, 6.443 Å; angles 60.00, 60.00, 60.00 degrees
Fractional positions:
Rb1 0.250 0.250 0.250
Rb2 0.750 0.750 0.750
Y1 0.000 0.000 0.000
Nb1 0.500 0.500 0.500
F1 0.245 0.245 0.755
F2 0.245 0.755 0.245
F3 0.245 0.755 0.755
F4 0.755 0.245 0.245
F5 0.755 0.245 0.755
F6 0.755 0.755 0.245

=====

No. 5
First-principles (PBE) data for Zr2InP after structural relaxation, as listed in the Alexandria database.

Results
ΔE_f, kJ/mol of atoms: -81.6
Magnetic moment, μB/f.u.: 0.0
Calculated total energy, eV/cell: -28.63
E above lowest polymorph, eV per atom: 0.0053

Cell lengths 3.611, 3.611, 7.946 Å; angles 103.06, 103.06, 59.80 degrees
Fractional positions:
Zr1 0.231 0.231 0.192
Zr2 0.769 0.769 0.808
In1 0.000 0.000 0.500
P1 0.500 0.500 0.000

=====

No. 6
First-principles (PBE) data for Mg3ZnHg after structural relaxation, as listed in the Alexandria database.

Results
ΔE_f, kJ/mol of atoms: 10.6
Magnetic moment, μB/f.u.: 0.0
Calculated total energy, eV/cell: -5.81
E above lowest polymorph, eV per atom: 0.1882

Cell lengths 5.049, 5.049, 5.049 Å; angles 90.00, 90.00, 90.00 degrees
Fractional positions:
Mg1 0.000 0.000 0.500
Mg2 0.000 0.500 0.000
Mg3 0.500 0.000 0.000
Zn1 0.000 0.000 0.000
Hg1 0.500 0.500 0.500

=====

No. 7
First-principles (PBE) data for Be4NiPt5 after structural relaxation, as listed in the Alexandria database.

Results
ΔE_f, kJ/mol of atoms: -62.2
Magnetic moment, μB/f.u.: 0.0
Calculated total energy, eV/cell: -57.33

Cell lengths 2.805, 2.805, 15.175 Å; angles 90.00, 90.00, 90.00 degrees
Fractional positions:
Be1 0.000 0.000 0.097
Be2 0.000 0.000 0.292
Be3 0.000 0.000 0.708
Be4 0.000 0.000 0.903
Ni1 0.000 0.000 0.500
Pt1 0.500 0.500 0.000
Pt2 0.500 0.500 0.189
Pt3 0.500 0.500 0.380
Pt4 0.500 0.500 0.620
Pt5 0.500 0.500 0.811

=====

No. 8
First-principles (PBE) data for Cu2Sn2Ge after structural relaxation, as listed in the Alexandria database.

Results
ΔE_f, kJ/mol of atoms: 23.5
Magnetic moment, μB/f.u.: 0.0
Calculated total energy, eV/cell: -39.19
E above lowest polymorph, eV per atom: 0.0952

Cell lengths 8.135, 8.135, 2.979 Å; angles 90.00, 90.00, 90.00 degrees
Fractional positions:
Cu1 0.109 0.391 0.000
Cu2 0.391 0.891 0.000
Cu3 0.609 0.109 0.000
Cu4 0.891 0.609 0.000
Sn1 0.184 0.684 0.500
Sn2 0.316 0.184 0.500
Sn3 0.684 0.816 0.500
Sn4 0.816 0.316 0.500
Ge1 0.000 0.000 0.500
Ge2 0.500 0.500 0.500